Entry 1:
The following is a PBE-GGA calculation of Ba3CoS after structural relaxation, from the Alexandria database.

V = 35.6 Å³/atom
uncorrected formation energy = -0.1905 eV/atom
E above lowest polymorph = 0 meV per atom

a b c (Å): 5.6230 5.6230 5.6230
angles (deg): 90.00 90.00 90.00
With the nearest neighbours (Å) after each atom.
Positions (direct):
S 0.5000 0.5000 0.5000  12 Ba 3.98
Co 0.0000 0.0000 0.0000  6 Ba 2.81
Ba 0.0000 0.5000 0.0000  2 Co 2.81
Ba 0.0000 0.0000 0.5000  2 Co 2.81
Ba 0.5000 0.0000 0.0000  2 Co 2.81

---

Entry 2:
The following is a PBE-GGA calculation of SrCdGaO4 after structural relaxation, from the Alexandria database.

V = 13.3 Å³/atom
uncorrected formation energy = -1.5782 eV/atom

a b c (Å): 5.5461 5.5189 6.6957
angles (deg): 90.00 114.47 90.00
With the nearest neighbours (Å) after each atom.
Positions (direct):
Sr 0.1073 0.2500 0.2146  5 O 2.41-2.62
Sr 0.8927 0.7500 0.7854  5 O 2.41-2.62
Cd 0.6042 0.7500 0.2084  1 O 2.22
Cd 0.3958 0.2500 0.7916  1 O 2.22
Ga 0.2515 0.7500 0.5031  6 O 1.96-2.08
Ga 0.7485 0.2500 0.4969  6 O 1.96-2.08
O 0.9095 0.2500 0.8189  1 Ga 1.96
O 0.4221 0.7500 0.8443  1 Ga 2.08, 1 Cd 2.22
O 0.0905 0.7500 0.1811  1 Ga 1.96
O 0.5779 0.2500 0.1557  1 Ga 2.08, 1 Cd 2.22
O 0.5000 0.5000 0.5000  2 Ga 1.96
O 0.0000 0.0000 0.5000  2 Ga 1.96
O 0.5000 0.0000 0.5000  2 Ga 1.96
O 0.0000 0.5000 0.5000  2 Ga 1.96

---

Entry 3:
The following is a PBE-GGA calculation of SrNbAu after structural relaxation, from the Alexandria database.

V = 26.2 Å³/atom
E above lowest polymorph = 94 meV per atom
calculated formation energy = -41 meV per atom

a b c (Å): 7.2973 4.6940 9.1956
angles (deg): 90.00 90.00 90.00
With the nearest neighbours (Å) after each atom.
Positions (direct):
Sr 0.0826 0.2500 0.8419  5 Au 3.16-3.21
Sr 0.4174 0.7500 0.3419  5 Au 3.16-3.21
Sr 0.9174 0.7500 0.1581  5 Au 3.16-3.21
Sr 0.5826 0.2500 0.6581  5 Au 3.16-3.21
Nb 0.0480 0.2500 0.4558  2 Nb 2.58, 2 Au 2.69-2.87
Nb 0.4520 0.7500 0.9558  2 Nb 2.58, 2 Au 2.69-2.87
Nb 0.9520 0.7500 0.5442  2 Nb 2.58, 2 Au 2.69-2.87
Nb 0.5480 0.2500 0.0442  2 Nb 2.58, 2 Au 2.69-2.87
Au 0.7173 0.2500 0.3256  2 Nb 2.69-2.87
Au 0.7827 0.7500 0.8256  2 Nb 2.69-2.87
Au 0.2827 0.7500 0.6744  2 Nb 2.69-2.87
Au 0.2173 0.2500 0.1744  2 Nb 2.69-2.87

---

Entry 4:
The following is a PBE-GGA calculation of YCrSbI2 after structural relaxation, from the Alexandria database.

V = 42.7 Å³/atom
uncorrected formation energy = 0.1196 eV/atom
E above lowest polymorph = 90 meV per atom

a b c (Å): 5.8838 5.8838 6.1630
angles (deg): 90.00 90.00 90.00
With the nearest neighbours (Å) after each atom.
Positions (direct):
I 0.0000 0.5000 0.0000  2 Y 2.94
I 0.5000 0.0000 0.0000  2 Y 2.94
Sb 0.0000 0.0000 0.5000  2 Y 3.08
Y 0.0000 0.0000 0.0000  4 I 2.94, 2 Sb 3.08
Cr 0.5000 0.5000 0.5000  4 Sb 4.16, 8 I 4.26

---

Entry 5:
The following is a PBE-GGA calculation of KLiCaF4 after structural relaxation, from the Alexandria database.

V = 15.6 Å³/atom
uncorrected formation energy = -3.2575 eV/atom

a b c (Å): 5.6541 5.6469 7.2778
angles (deg): 90.00 109.51 90.00
With the nearest neighbours (Å) after each atom.
Positions (direct):
K 0.7074 0.7500 0.9336  2 F 2.56-2.61
K 0.2926 0.2500 0.0664  2 F 2.56-2.61
Li 0.2387 0.7500 0.3168  4 F 1.84-1.86
Li 0.7613 0.2500 0.6832  4 F 1.84-1.86
Ca 0.7880 0.7500 0.4531  6 F 2.27-2.35
Ca 0.2120 0.2500 0.5469  6 F 2.27-2.35
F 0.9928 0.4905 0.6992  1 Li 1.86
F 0.0072 0.9905 0.3008  1 Li 1.86
F 0.0072 0.5095 0.3008  1 Li 1.86
F 0.9928 0.0095 0.6992  1 Li 1.86
F 0.4487 0.7500 0.1710  1 Li 1.84
F 0.5513 0.2500 0.8290  1 Li 1.84
F 0.4618 0.7500 0.5681  1 Li 1.84
F 0.5382 0.2500 0.4319  1 Li 1.84

---

Entry 6:
The following is a PBE-GGA calculation of BeRe2Tc after structural relaxation, from the Alexandria database.

V = 13.7 Å³/atom
calculated formation energy = 167 meV per atom

a b c (Å): 3.0386 4.2444 4.2528
angles (deg): 90.00 90.00 90.00
With the nearest neighbours (Å) after each atom.
Positions (direct):
Re 0.0000 0.0000 0.0000  4 Re 2.61, 4 Tc 2.61
Re 0.5000 0.5000 0.0000  4 Re 2.61, 4 Be 2.61
Tc 0.5000 0.0000 0.5000  4 Be 2.61, 4 Re 2.61
Be 0.0000 0.5000 0.5000  4 Tc 2.61, 4 Re 2.61

---

Entry 7:
The following is a PBE-GGA calculation of Ca3ReW after structural relaxation, from the Alexandria database.

V = 31.0 Å³/atom
E above lowest polymorph = 0 meV per atom
calculated formation energy = 1979 meV per atom

a b c (Å): 5.3713 5.3713 5.3713
angles (deg): 90.00 90.00 90.00
With the nearest neighbours (Å) after each atom.
Positions (direct):
Re 0.0000 0.0000 0.0000  6 Ca 2.69
Ca 0.0000 0.5000 0.0000  2 Re 2.69
Ca 0.0000 0.0000 0.5000  2 Re 2.69
Ca 0.5000 0.0000 0.0000  2 Re 2.69
W 0.5000 0.5000 0.5000  12 Ca 3.80

---

Entry 8:
The following is a PBE-GGA calculation of Sr2Er2Cd15 after structural relaxation, from the Alexandria database.

V = 25.6 Å³/atom
calculated formation energy = -171 meV per atom

a b c (Å): 8.0021 8.0021 8.0021
angles (deg): 78.97 78.97 78.97
With the nearest neighbours (Å) after each atom.
Positions (direct):
Sr 0.3342 0.3342 0.3342  15 Cd 3.62-4.01, 1 Er 3.87
Sr 0.6658 0.6658 0.6658  15 Cd 3.62-4.01, 1 Er 3.87
Er 0.0970 0.0970 0.0970  12 Cd 3.15-3.39, 1 Er 3.16
Er 0.9030 0.9030 0.9030  12 Cd 3.15-3.39, 1 Er 3.16
Cd 0.5000 0.0000 0.0000  8 Cd 3.00-3.12, 2 Er 3.15
Cd 0.0000 0.0000 0.5000  8 Cd 3.00-3.12, 2 Er 3.15
Cd 0.0000 0.5000 0.0000  8 Cd 3.00-3.12, 2 Er 3.15
Cd 0.0000 0.7077 0.2923  6 Cd 2.97-3.12
Cd 0.7077 0.2923 0.0000  6 Cd 2.97-3.12
Cd 0.2923 0.0000 0.7077  6 Cd 2.97-3.12
Cd 0.2923 0.7077 0.0000  6 Cd 2.97-3.12
Cd 0.7077 0.0000 0.2923  6 Cd 2.97-3.12
Cd 0.0000 0.2923 0.7077  6 Cd 2.97-3.12
Cd 0.1455 0.6360 0.6360  6 Cd 3.00-3.10
Cd 0.6360 0.6360 0.1455  6 Cd 3.00-3.10
Cd 0.6360 0.1455 0.6360  6 Cd 3.00-3.10
Cd 0.8545 0.3640 0.3640  6 Cd 3.00-3.10
Cd 0.3640 0.3640 0.8545  6 Cd 3.00-3.10
Cd 0.3640 0.8545 0.3640  6 Cd 3.00-3.10

---

Entry 9:
The following is a PBE-GGA calculation of VCr2FeH after structural relaxation, from the Alexandria database.

V = 10.0 Å³/atom
E above lowest polymorph = 23 meV per atom

a b c (Å): 3.5475 3.5475 3.9891
angles (deg): 90.00 90.00 90.00
With the nearest neighbours (Å) after each atom.
Positions (direct):
Cr 0.0000 0.5000 0.0000  2 H 1.77
Cr 0.5000 0.0000 0.0000  2 H 1.77
Fe 0.5000 0.5000 0.5000  4 V 2.51, 8 Cr 2.67
H 0.0000 0.0000 0.0000  4 Cr 1.77
V 0.0000 0.0000 0.5000  2 H 1.99

---

Entry 10:
The following is a PBE-GGA calculation of BeTcAgPt2 after structural relaxation, from the Alexandria database.

V = 15.8 Å³/atom
E above lowest polymorph = 0 meV per atom
calculated formation energy = 442 meV per atom

a b c (Å): 4.2472 4.3815 4.2472
angles (deg): 90.00 90.00 90.00
With the nearest neighbours (Å) after each atom.
Positions (direct):
Be 0.0000 0.0000 0.0000  4 Pt 2.12, 2 Ag 2.19
Ag 0.0000 0.5000 0.0000  2 Be 2.19
Pt 0.0000 0.0000 0.5000  2 Be 2.12
Pt 0.5000 0.0000 0.0000  2 Be 2.12
Tc 0.5000 0.5000 0.5000  4 Ag 3.00, 8 Pt 3.05

---

Entry 11:
The following is a PBE-GGA calculation of GdHgI3 after structural relaxation, from the Alexandria database.

V = 45.4 Å³/atom
uncorrected formation energy = -1.0086 eV/atom

a b c (Å): 6.1006 6.1006 6.1006
angles (deg): 90.00 90.00 90.00
With the nearest neighbours (Å) after each atom.
Positions (direct):
I 0.0000 0.5000 0.0000  2 Gd 3.05
I 0.0000 0.0000 0.5000  2 Gd 3.05
I 0.5000 0.0000 0.0000  2 Gd 3.05
Gd 0.0000 0.0000 0.0000  6 I 3.05
Hg 0.5000 0.5000 0.5000  12 I 4.31

---

Entry 12:
The following is a PBE-GGA calculation of Ga2Mo after structural relaxation, from the Alexandria database.

V = 15.6 Å³/atom
E above lowest polymorph = 225 meV per atom
calculated formation energy = 64 meV per atom

a b c (Å): 3.2735 3.2735 4.9424
angles (deg): 109.26 109.26 90.24
With the nearest neighbours (Å) after each atom.
Positions (direct):
Mo 0.5000 0.5000 0.0000  10 Ga 2.71-2.94
Ga 0.1633 0.1633 0.3263  5 Mo 2.71-2.94, 5 Ga 2.76-2.85
Ga 0.8367 0.8367 0.6737  5 Mo 2.71-2.94, 5 Ga 2.76-2.85

---

Entry 13:
The following is a PBE-GGA calculation of Ga2HgPb after structural relaxation, from the Alexandria database.

V = 24.3 Å³/atom
E above lowest polymorph = 41 meV per atom
calculated formation energy = 109 meV per atom

a b c (Å): 5.1580 5.1580 5.1580
angles (deg): 60.00 60.00 60.00
With the nearest neighbours (Å) after each atom.
Positions (direct):
Pb 0.5000 0.5000 0.5000  8 Ga 3.16
Hg 0.0000 0.0000 0.0000  8 Ga 3.16
Ga 0.2500 0.2500 0.2500  4 Hg 3.16, 4 Pb 3.16
Ga 0.7500 0.7500 0.7500  4 Hg 3.16, 4 Pb 3.16

---

Entry 14:
The following is a PBE-GGA calculation of Mg2CdCl after structural relaxation, from the Alexandria database.

V = 23.7 Å³/atom
uncorrected formation energy = -0.4333 eV/atom
E above lowest polymorph = 137 meV per atom

a b c (Å): 5.2065 3.2249 5.8468
angles (deg): 75.39 90.00 90.00
With the nearest neighbours (Å) after each atom.
Positions (direct):
Cd 0.0000 0.5928 0.4236  7 Mg 3.01-3.18, 2 Cd 3.22
Cl 0.5000 0.8524 0.9180  4 Mg 2.60-2.66
Mg 0.0000 0.8866 0.8726  2 Cl 2.62
Mg 0.5000 0.1683 0.2858  2 Cl 2.60-2.66

---

Entry 15:
The following is a PBE-GGA calculation of Cr2RhW after structural relaxation, from the Alexandria database.

V = 13.6 Å³/atom
E above lowest polymorph = 129 meV per atom
calculated formation energy = 172 meV per atom

a b c (Å): 4.1595 2.6225 5.0960
angles (deg): 78.92 90.00 90.00
With the nearest neighbours (Å) after each atom.
Positions (direct):
Cr 0.0000 0.9416 0.0014  4 Cr 2.54-2.75, 2 W 2.54, 2 Rh 2.64
Cr 0.0000 0.5584 0.4986  4 Cr 2.54-2.75, 2 W 2.54, 2 Rh 2.64
Rh 0.5000 0.2500 0.2500  2 Rh 2.62, 2 W 2.63, 8 Cr 2.64-2.89
W 0.5000 0.7500 0.7500  4 Cr 2.54, 2 W 2.62, 2 Rh 2.63

---

Entry 16:
The following is a PBE-GGA calculation of PbI2N after structural relaxation, from the Alexandria database.

V = 36.8 Å³/atom
uncorrected formation energy = 0.4350 eV/atom
E above lowest polymorph = 0 meV per atom

a b c (Å): 4.1377 8.3536 8.8954
angles (deg): 81.07 90.00 104.34
With the nearest neighbours (Å) after each atom.
Positions (direct):
Pb 0.3875 0.7749 0.4583  2 N 2.42-2.57
Pb 0.6125 0.2251 0.5417  2 N 2.42-2.57
I 0.7990 0.5980 0.2589  2 Pb 3.21
I 0.2010 0.4020 0.7411  2 Pb 3.21
I 0.9434 0.8868 0.7735  2 N 2.25
I 0.0566 0.1132 0.2265  2 N 2.25
N 0.5291 0.0581 0.3192  2 I 2.25, 1 Pb 2.42
N 0.4709 0.9419 0.6808  2 I 2.25, 1 Pb 2.42

---

Entry 17:
The following is a PBE-GGA calculation of YBe2C after structural relaxation, from the Alexandria database.

V = 12.5 Å³/atom
calculated formation energy = 214 meV per atom

a b c (Å): 3.9545 3.9545 6.9694
angles (deg): 73.52 73.52 90.00
With the nearest neighbours (Å) after each atom.
Positions (direct):
Y 0.0000 0.0000 0.0000  8 Be 2.73, 4 C 2.80
Y 0.7500 0.2500 0.5000  8 Be 2.73, 4 C 2.80
Be 0.3750 0.1250 0.2500  2 C 1.88, 2 Be 1.98
Be 0.3750 0.6250 0.2500  2 C 1.88, 2 Be 1.98
Be 0.3750 0.6250 0.7500  2 C 1.88, 2 Be 1.98
Be 0.8750 0.6250 0.7500  2 C 1.88, 2 Be 1.98
C 0.5000 0.5000 0.0000  4 Be 1.88
C 0.2500 0.7500 0.5000  4 Be 1.88

---

Entry 18:
The following is a PBE-GGA calculation of La4Ir2Pb after structural relaxation, from the Alexandria database.

V = 32.6 Å³/atom
calculated formation energy = -569 meV per atom

a b c (Å): 8.4009 8.4009 8.4077
angles (deg): 109.55 109.61 109.22
With the nearest neighbours (Å) after each atom.
Positions (direct):
La 0.9066 0.2244 0.3183  3 Ir 2.82-3.01
La 0.3435 0.5256 0.1818  3 Ir 2.82-3.01
La 0.9061 0.5883 0.6818  3 Ir 2.82-3.01
La 0.7756 0.0932 0.6815  3 Ir 2.82-3.01
La 0.4116 0.0941 0.3184  3 Ir 2.82-3.01
La 0.3438 0.1616 0.8181  3 Ir 2.82-3.01
La 0.4744 0.6569 0.8186  3 Ir 2.82-3.01
La 0.8384 0.6558 0.1815  3 Ir 2.82-3.02
Ir 0.6249 0.3750 0.7500  6 La 2.82-3.01
Ir 0.6250 0.8750 0.2500  6 La 2.82-3.02
Ir 0.6250 0.3749 0.2499  6 La 2.82-3.01
Ir 0.1250 0.3751 0.7501  6 La 2.82-3.01
Pb 0.2505 0.7504 0.5000  4 La 3.21
Pb 0.9995 0.9996 0.0000  4 La 3.21

---

Entry 19:
The following is a PBE-GGA calculation of Tm12In5Bi2 after structural relaxation, from the Alexandria database.

V = 31.2 Å³/atom
calculated formation energy = -157 meV per atom

a b c (Å): 7.1076 9.1836 10.0347
angles (deg): 100.28 90.00 112.77
With the nearest neighbours (Å) after each atom.
Positions (direct):
Tm 0.8961 0.7921 0.1875  1 In 3.29, 2 Bi 3.32, 4 Tm 3.37-3.49
Tm 0.0723 0.6373 0.8932  3 In 2.95-3.26, 1 Bi 3.05
Tm 0.5650 0.6373 0.8932  3 In 2.95-3.26, 1 Bi 3.05
Tm 0.1121 0.7015 0.4430  4 In 3.00-3.17
Tm 0.5894 0.7015 0.4430  4 In 3.00-3.17
Tm 0.4874 0.9748 0.6984  2 In 3.08-3.24
Tm 0.5126 0.0252 0.3016  2 In 3.08-3.24
Tm 0.8879 0.2985 0.5570  4 In 3.00-3.17
Tm 0.4106 0.2985 0.5570  4 In 3.00-3.17
Tm 0.9277 0.3627 0.1068  3 In 2.95-3.26, 1 Bi 3.05
Tm 0.4350 0.3627 0.1068  3 In 2.95-3.26, 1 Bi 3.05
Tm 0.1039 0.2079 0.8125  1 In 3.29, 2 Bi 3.32, 4 Tm 3.37-3.49
In 0.2928 0.5857 0.6515  7 Tm 2.95-3.24
In 0.3325 0.6650 0.1713  7 Tm 3.08-3.26
In 0.0000 0.0000 0.5000  6 Tm 3.10-3.29
In 0.6675 0.3350 0.8287  7 Tm 3.08-3.26
In 0.7072 0.4143 0.3485  7 Tm 2.95-3.24
Bi 0.7522 0.0000 0.0000  4 Tm 3.05-3.32
Bi 0.2478 0.0000 0.0000  4 Tm 3.05-3.32

---

Entry 20:
The following is a PBE-GGA calculation of In5Br after structural relaxation, from the Alexandria database.

V = 28.2 Å³/atom
uncorrected formation energy = -0.0660 eV/atom
E above lowest polymorph = 54 meV per atom

a b c (Å): 5.9054 5.9054 5.5940
angles (deg): 90.00 90.00 120.00
With the nearest neighbours (Å) after each atom.
Positions (direct):
In 0.6650 0.0000 0.0000  10 In 3.40-3.43, 2 Br 3.43
In 0.3350 0.3350 0.0000  10 In 3.40-3.43, 2 Br 3.43
In 0.0000 0.6650 0.0000  10 In 3.40-3.43, 2 Br 3.43
In 0.6667 0.3333 0.5000  3 Br 3.41, 9 In 3.41-3.42
In 0.3333 0.6667 0.5000  3 Br 3.41, 9 In 3.41-3.42
Br 0.0000 0.0000 0.5000  12 In 3.41-3.43